Entry 1:
A relaxed structure of Sm3YCo. Source: Alexandria, functional GGA-PBE.

abc: 7.241 7.241 7.279
angles: 109.25 110.31 108.64
Atoms (fractional coordinates):
Sm  0.162  0.954  0.708
Sm  0.708  0.454  0.162
Sm  0.245  0.454  0.292
Sm  0.838  0.046  0.292
Sm  0.292  0.546  0.838
Sm  0.755  0.546  0.708
Co  0.618  0.750  0.368
Co  0.382  0.250  0.632
Y  0.296  0.954  0.250
Y  0.704  0.046  0.750

## Properties
Mass density   6.75 Mg/m³
ΔE to the lowest computed polymorph   0 meV/atom
Energy relative to the elements   -0.077 eV per atom
SG   C2/m



Entry 2:
A relaxed structure of CsPuCuO4. Source: Alexandria, functional GGA-PBE.

abc: 6.427 7.432 6.851
angles: 117.45 90.00 115.62
Last column: magnetic moment on the atom in μB.
Atoms (fractional coordinates):
O  0.317  0.026  0.763  -0.14
O  0.677  0.354  0.241  -0.18
O  0.683  0.974  0.237  -0.14
O  0.709  0.026  0.763  -0.14
O  0.323  0.646  0.388  -0.18
O  0.323  0.646  0.759  -0.18
O  0.291  0.974  0.237  -0.14
O  0.677  0.354  0.612  -0.18
Cs  0.826  0.651  0.076  -0.01
Cs  0.174  0.349  0.924  -0.01
Cu  0.500  0.500  0.500  -0.26
Cu  0.000  0.500  0.500  -0.26
Pu  0.500  0.000  0.000  2.92
Pu  0.500  0.000  0.500  2.92

## Properties
Mass density   6.61 Mg/m³
Energy relative to the elements, uncorrected   -1.744 eV per atom
SG   Imma



Entry 3:
A relaxed structure of TiMnCo2H. Source: Alexandria, functional GGA-PBE.

abc: 3.620 3.620 3.793
angles: 90.00 90.00 90.00
Last column: magnetic moment on the atom in μB.
Atoms (fractional coordinates):
Co  0.500  0.000  0.000  0.03
Co  0.000  0.500  0.000  0.03
Mn  0.500  0.500  0.500  2.24
Ti  0.000  0.000  0.500  -0.29
H  0.000  0.000  0.000  0.00

## Properties
Mass density   7.41 Mg/m³
ΔE to the lowest computed polymorph   28 meV/atom
SG   P4/mmm



Entry 4:
A relaxed structure of CdCoCl. Source: Alexandria, functional GGA-PBE.

abc: 4.405 4.405 4.405
angles: 60.00 60.00 60.00
Last column: magnetic moment on the atom in μB.
Atoms (fractional coordinates):
Co  0.250  0.250  0.250  1.37
Cd  0.000  0.000  0.000  -0.03
Cl  0.500  0.500  0.500  0.03

## Properties
Mass density   5.68 Mg/m³
ΔE to the lowest computed polymorph   533 meV/atom
Energy relative to the elements, uncorrected   0.519 eV per atom
SG   F-43m



Entry 5:
A relaxed structure of LiAg3Pd6. Source: Alexandria, functional GGA-PBE.

abc: 4.475 7.713 10.130
angles: 90.00 71.87 90.00
Atoms (fractional coordinates):
Pd  0.884  0.704  0.671
Pd  0.564  0.863  0.897
Pd  0.384  0.796  0.171
Pd  0.116  0.296  0.329
Pd  0.936  0.363  0.603
Pd  0.009  0.303  0.987
Pd  0.491  0.803  0.513
Pd  0.436  0.137  0.103
Pd  0.064  0.637  0.397
Pd  0.509  0.197  0.487
Pd  0.991  0.697  0.013
Pd  0.616  0.204  0.829
Li  0.500  0.500  0.500
Li  0.000  0.000  0.000
Ag  0.310  0.516  0.761
Ag  0.000  0.000  0.500
Ag  0.690  0.484  0.239
Ag  0.810  0.984  0.261
Ag  0.190  0.016  0.739
Ag  0.500  0.500  0.000

## Properties
Mass density   9.68 Mg/m³
ΔE to the lowest computed polymorph   32 meV/atom
Energy relative to the elements   0.060 eV per atom
SG   P2_1/c



Entry 6:
A relaxed structure of Ta2SbAs. Source: Alexandria, functional GGA-PBE.

abc: 4.757 4.757 4.757
angles: 60.00 60.00 60.00
Atoms (fractional coordinates):
As  0.500  0.500  0.500
Sb  0.750  0.750  0.750
Ta  0.250  0.250  0.250
Ta  0.000  0.000  0.000

## Properties
Mass density   12.18 Mg/m³
Energy relative to the elements, uncorrected   0.288 eV per atom
SG   F-43m



> Look up the mass density of the first one.

6.75 Mg/m³